Entry 1:
4
Lattice="0.000 3.582 3.582 3.582 0.000 3.582 3.582 3.582 0.000" Properties=species:S:1:pos:R:3 comment="Lu2ScAu PBE optimized geometry" space_group="No. 216" pbc="T T T"
Au 3.582 3.582 3.582
Lu 0.000 0.000 0.000
Lu 1.791 1.791 1.791
Sc 5.373 5.373 5.373



Entry 2:
4
Lattice="0.000 3.519 3.519 3.519 0.000 3.519 3.519 3.519 0.000" Properties=species:S:1:pos:R:3 comment="LuSc2Au PBE optimized geometry" space_group="No. 216" pbc="T T T"
Au 1.759 1.759 1.759
Lu 3.519 3.519 3.519
Sc 0.000 0.000 0.000
Sc 5.278 5.278 5.278



| no. | energy of formation from the pure elements (eV/atom) |
| --- | --- |
| 1 | -0.17 |
| 2 | -0.21 |